Entry from the Alexandria database: a relaxed Nb3AlB crystal (PBE).

DFT formation energy: -0.100 eV per atom
mass density: 6.3 Mg/m³
Fermi-level density of states: 7.27 states/eV/f.u.
symmetry: Pm-3m, No. 221

POSCAR file:
```
Nb3AlB
1.0
4.3689 0.0000 0.0000
0.0000 4.3689 0.0000
0.0000 0.0000 4.3689
Nb B Al
3 1 1
direct
0.0000 0.5000 0.0000
0.0000 0.0000 0.5000
0.5000 0.0000 0.0000
0.0000 0.0000 0.0000
0.5000 0.5000 0.5000
```